Density functional theory data (PBE) for an optimized crystal structure of PuHf2Au.

Unit cell a=3.2329 b=5.0505 c=5.0505 alpha=90.00 beta=90.00 gamma=90.00
Each line ends with the local moment (μB).
Fractional positions:
Pu1 0.5000 0.5000 0.5000  4.99
Au1 0.5000 0.0000 0.0000  -0.02
Hf1 0.0000 0.5000 0.0000  0.06
Hf2 0.0000 0.0000 0.5000  0.06

DFT formation energy = -146 meV per atom